This record from Alexandria describes LiMgHgRh after structural relaxation. The functional is PBE.

## Properties
E_tot in eV per atom: -3.11
Total magnetic moment in μB per formula unit: 0.0
Energy of formation in kJ/mol of atoms: -31.2

Lattice parameters (Å, degrees): 3.783 3.986 4.334 90.00 90.00 90.00
Element x y z (fractional)
Li 0.000 0.000 0.000
Mg 0.500 0.000 0.500
Hg 0.500 0.500 0.000
Rh 0.000 0.500 0.500


This record from Alexandria describes Co3BiOs after structural relaxation. The functional is PBE.

## Properties
ΔE to the lowest computed polymorph in eV/f.u.: 0.00
E_tot in eV per atom: -6.06
Total magnetic moment in μB per formula unit: 0.0
Energy of formation in kJ/mol of atoms: 117.9

Lattice parameters (Å, degrees): 4.507 4.507 4.507 90.00 90.00 90.00
Element x y z (fractional)
Co 0.000 0.000 0.500
Co 0.000 0.500 0.000
Co 0.500 0.000 0.000
Bi 0.500 0.500 0.500
Os 0.000 0.000 0.000


Look up the energy of formation of the second one.
117.9 kJ/mol of atoms